# GGA-PBE TlAgICl, optimized geometry
data_TlAgICl
_cell_length_a 4.7085
_cell_length_b 4.7085
_cell_length_c 7.6041
_cell_angle_alpha 90.00
_cell_angle_beta 90.00
_cell_angle_gamma 120.00
_space_group_name_H-M_alt 'P 3 m 1'
_space_group_IT_number 156
_space_group_name_Hall 'P 3 -2"'
loop_
_atom_site_label
_atom_site_type_symbol
_atom_site_fract_x
_atom_site_fract_y
_atom_site_fract_z
Tl1 Tl 0.0000 0.0000 0.0000
Ag1 Ag 0.3333 0.6667 0.4705
I1 I 0.6667 0.3333 0.3477
Cl1 Cl 0.3333 0.6667 0.8135
# Formation energy (no corrections), eV per atom: -0.610
# Total moment, μB/cell: 0.00

# GGA-PBE Tl3Ag2I2Cl4, optimized geometry
data_Tl3Ag2I2Cl4
_cell_length_a 5.052
_cell_length_b 5.052
_cell_length_c 28.081
_cell_angle_alpha 90.00
_cell_angle_beta 90.00
_cell_angle_gamma 90.00
_space_group_name_H-M_alt 'I 4/m m m'
_space_group_IT_number 139
_space_group_name_Hall '-I 4 2'
loop_
_atom_site_label
_atom_site_type_symbol
_atom_site_fract_x
_atom_site_fract_y
_atom_site_fract_z
Tl1 Tl 0.000 0.000 0.000
Tl2 Tl 0.000 0.000 0.177
Ag1 Ag 0.000 0.000 0.409
I1 I 0.000 0.000 0.301
Cl1 Cl 0.000 0.500 0.077
# Formation energy (no corrections), eV per atom: -0.631
# Total moment, μB/cell: 0.00

# GGA-PBE TlAg3I2Cl6, optimized geometry
data_TlAg3I2Cl6
_cell_length_a 14.536
_cell_length_b 7.684
_cell_length_c 6.212
_cell_angle_alpha 90.00
_cell_angle_beta 92.82
_cell_angle_gamma 90.00
_space_group_name_H-M_alt 'C 1 2/m 1'
_space_group_IT_number 12
_space_group_name_Hall '-C 2y'
loop_
_atom_site_label
_atom_site_type_symbol
_atom_site_fract_x
_atom_site_fract_y
_atom_site_fract_z
Tl1 Tl 0.000 0.000 0.000
Ag1 Ag 0.000 0.500 0.500
Ag2 Ag 0.250 0.250 0.000
I1 I 0.176 0.500 0.708
Cl1 Cl 0.074 0.241 0.249
Cl2 Cl 0.170 0.000 0.795
# Formation energy (no corrections), eV per atom: -0.383
# Total moment, μB/cell: 0.00

# GGA-PBE Tl2AgICl6, optimized geometry
data_Tl2AgICl6
_cell_length_a 7.246
_cell_length_b 7.775
_cell_length_c 7.781
_cell_angle_alpha 89.41
_cell_angle_beta 65.42
_cell_angle_gamma 65.33
_space_group_name_H-M_alt 'P 1'
_space_group_IT_number 1
_space_group_name_Hall 'P 1'
loop_
_atom_site_label
_atom_site_type_symbol
_atom_site_fract_x
_atom_site_fract_y
_atom_site_fract_z
Tl1 Tl 0.000 0.000 0.000
Tl2 Tl 0.001 0.592 0.405
Ag1 Ag 0.609 0.720 0.127
I1 I 0.615 0.227 0.634
Cl1 Cl 0.016 0.596 0.003
Cl2 Cl 0.198 0.875 0.282
Cl3 Cl 0.580 0.007 0.414
Cl4 Cl 0.615 0.984 0.861
Cl5 Cl 0.618 0.452 0.389
Cl6 Cl 0.670 0.434 0.840
# Formation energy (no corrections), eV per atom: -0.583
# Total moment, μB/cell: 0.00

# GGA-PBE Tl2AgICl3, optimized geometry
data_Tl2AgICl3
_cell_length_a 5.180
_cell_length_b 5.555
_cell_length_c 16.148
_cell_angle_alpha 90.00
_cell_angle_beta 90.00
_cell_angle_gamma 90.00
_space_group_name_H-M_alt 'I m m m'
_space_group_IT_number 71
_space_group_name_Hall '-I 2 2'
loop_
_atom_site_label
_atom_site_type_symbol
_atom_site_fract_x
_atom_site_fract_y
_atom_site_fract_z
Tl1 Tl 0.000 0.000 0.150
Ag1 Ag 0.000 0.000 0.500
I1 I 0.000 0.500 0.500
Cl1 Cl 0.000 0.000 0.333
Cl2 Cl 0.000 0.500 0.000
# Formation energy (no corrections), eV per atom: -0.618
# Total moment, μB/cell: 0.00

# GGA-PBE TlAg2I2Cl, optimized geometry
data_TlAg2I2Cl
_cell_length_a 8.699
_cell_length_b 5.912
_cell_length_c 9.535
_cell_angle_alpha 90.00
_cell_angle_beta 107.17
_cell_angle_gamma 90.00
_space_group_name_H-M_alt 'P 1 21/m 1'
_space_group_IT_number 11
_space_group_name_Hall '-P 2yb'
loop_
_atom_site_label
_atom_site_type_symbol
_atom_site_fract_x
_atom_site_fract_y
_atom_site_fract_z
Tl1 Tl 0.189 0.250 0.423
Ag1 Ag 0.343 0.002 0.823
I1 I 0.052 0.250 0.739
I2 I 0.403 0.750 0.591
Cl1 Cl 0.381 0.750 0.066
# Formation energy (no corrections), eV per atom: -0.429
# Total moment, μB/cell: 0.00

# GGA-PBE Tl2AgICl4, optimized geometry
data_Tl2AgICl4
_cell_length_a 7.988
_cell_length_b 4.940
_cell_length_c 8.702
_cell_angle_alpha 90.00
_cell_angle_beta 102.18
_cell_angle_gamma 90.00
_space_group_name_H-M_alt 'P 1 2/m 1'
_space_group_IT_number 10
_space_group_name_Hall '-P 2y'
loop_
_atom_site_label
_atom_site_type_symbol
_atom_site_fract_x
_atom_site_fract_y
_atom_site_fract_z
Tl1 Tl 0.000 0.000 0.000
Tl2 Tl 0.000 0.500 0.500
Ag1 Ag 0.500 0.000 0.500
I1 I 0.500 0.500 0.000
Cl1 Cl 0.183 0.500 0.861
Cl2 Cl 0.206 0.000 0.376
# Formation energy (no corrections), eV per atom: -0.650
# Total moment, μB/cell: 0.00

# GGA-PBE Tl5AgI4Cl2, optimized geometry
data_Tl5AgI4Cl2
_cell_length_a 9.436
_cell_length_b 13.485
_cell_length_c 8.290
_cell_angle_alpha 90.00
_cell_angle_beta 90.00
_cell_angle_gamma 90.00
_space_group_name_H-M_alt 'A m m 2'
_space_group_IT_number 38
_space_group_name_Hall 'A 2 -2'
loop_
_atom_site_label
_atom_site_type_symbol
_atom_site_fract_x
_atom_site_fract_y
_atom_site_fract_z
Tl1 Tl 0.000 0.000 0.000
Tl2 Tl 0.238 0.201 0.541
Ag1 Ag 0.500 0.000 0.068
I1 I 0.260 0.000 0.281
I2 I 0.500 0.166 0.849
Cl1 Cl 0.000 0.205 0.822
# Formation energy (no corrections), eV per atom: -0.675
# Total moment, μB/cell: 0.00

# GGA-PBE TlAg2ICl6, optimized geometry
data_TlAg2ICl6
_cell_length_a 7.041
_cell_length_b 7.359
_cell_length_c 7.452
_cell_angle_alpha 118.58
_cell_angle_beta 105.10
_cell_angle_gamma 103.05
_space_group_name_H-M_alt 'P 1'
_space_group_IT_number 1
_space_group_name_Hall 'P 1'
loop_
_atom_site_label
_atom_site_type_symbol
_atom_site_fract_x
_atom_site_fract_y
_atom_site_fract_z
Tl1 Tl 0.000 0.000 0.000
Ag1 Ag 0.542 0.958 0.270
Ag2 Ag 0.943 0.693 0.395
I1 I 0.516 0.497 0.017
Cl1 Cl 0.201 0.962 0.330
Cl2 Cl 0.216 0.817 0.792
Cl3 Cl 0.329 0.432 0.248
Cl4 Cl 0.696 0.562 0.784
Cl5 Cl 0.808 0.014 0.663
Cl6 Cl 0.826 0.222 0.251
# Formation energy (no corrections), eV per atom: -0.455
# Total moment, μB/cell: 0.00

# GGA-PBE VAgICl4, optimized geometry
data_VAgICl4
_cell_length_a 16.791
_cell_length_b 7.318
_cell_length_c 8.941
_cell_angle_alpha 90.00
_cell_angle_beta 90.74
_cell_angle_gamma 90.00
_space_group_name_H-M_alt 'C 1 2/m 1'
_space_group_IT_number 12
_space_group_name_Hall '-C 2y'
loop_
_atom_site_label
_atom_site_type_symbol
_atom_site_fract_x
_atom_site_fract_y
_atom_site_fract_z
V1 V 0.143 0.000 0.291
Ag1 Ag 0.073 0.500 0.081
I1 I 0.070 0.500 0.769
Cl1 Cl 0.016 0.000 0.284
Cl2 Cl 0.184 0.243 0.174
Cl3 Cl 0.189 0.000 0.515
# Formation energy (no corrections), eV per atom: -0.823
# Total moment, μB/cell: 3.97

# GGA-PBE ZrAg3I2Cl6, optimized geometry
data_ZrAg3I2Cl6
_cell_length_a 14.332
_cell_length_b 7.845
_cell_length_c 6.255
_cell_angle_alpha 90.00
_cell_angle_beta 94.61
_cell_angle_gamma 90.00
_space_group_name_H-M_alt 'C 1 2/m 1'
_space_group_IT_number 12
_space_group_name_Hall '-C 2y'
loop_
_atom_site_label
_atom_site_type_symbol
_atom_site_fract_x
_atom_site_fract_y
_atom_site_fract_z
Zr1 Zr 0.000 0.000 0.000
Ag1 Ag 0.000 0.500 0.500
Ag2 Ag 0.250 0.250 0.000
I1 I 0.180 0.500 0.714
Cl1 Cl 0.076 0.228 0.232
Cl2 Cl 0.139 0.000 0.778
# Formation energy (no corrections), eV per atom: -0.883
# Total moment, μB/cell: 0.00

# GGA-PBE In2AgCl8, optimized geometry
data_In2AgCl8
_cell_length_a 12.614
_cell_length_b 9.122
_cell_length_c 6.866
_cell_angle_alpha 90.00
_cell_angle_beta 91.28
_cell_angle_gamma 90.00
_space_group_name_H-M_alt 'C 1 2/m 1'
_space_group_IT_number 12
_space_group_name_Hall '-C 2y'
loop_
_atom_site_label
_atom_site_type_symbol
_atom_site_fract_x
_atom_site_fract_y
_atom_site_fract_z
In1 In 0.216 0.000 0.172
Ag1 Ag 0.000 0.000 0.500
Cl1 Cl 0.105 0.189 0.326
Cl2 Cl 0.108 0.500 0.722
Cl3 Cl 0.188 0.000 0.830
# Excess energy over the best structure of this formula in the dataset, eV per formula unit: 0.00
# Formation energy (no corrections), eV per atom: -0.830
# Total moment, μB/cell: 2.13

# GGA-PBE InAgCl4, optimized geometry
data_InAgCl4
_cell_length_a 8.577
_cell_length_b 8.577
_cell_length_c 8.577
_cell_angle_alpha 90.00
_cell_angle_beta 90.00
_cell_angle_gamma 90.00
_space_group_name_H-M_alt 'F -4 3 m'
_space_group_IT_number 216
_space_group_name_Hall 'F -4 2 3'
loop_
_atom_site_label
_atom_site_type_symbol
_atom_site_fract_x
_atom_site_fract_y
_atom_site_fract_z
In1 In 0.000 0.000 0.000
Ag1 Ag 0.250 0.250 0.750
Cl1 Cl 0.125 0.125 0.375
# Excess energy over the best structure of this formula in the dataset, eV per formula unit: 6.42
# Formation energy (no corrections), eV per atom: 0.205
# Total moment, μB/cell: 8.13

# GGA-PBE InAg3Cl6, optimized geometry
data_InAg3Cl6
_cell_length_a 6.895
_cell_length_b 6.790
_cell_length_c 12.321
_cell_angle_alpha 90.00
_cell_angle_beta 122.48
_cell_angle_gamma 90.00
_space_group_name_H-M_alt 'P 1 21/c 1'
_space_group_IT_number 14
_space_group_name_Hall '-P 2ybc'
loop_
_atom_site_label
_atom_site_type_symbol
_atom_site_fract_x
_atom_site_fract_y
_atom_site_fract_z
In1 In 0.000 0.000 0.000
Ag1 Ag 0.272 0.034 0.761
Ag2 Ag 0.500 0.000 0.500
Cl1 Cl 0.072 0.186 0.416
Cl2 Cl 0.268 0.673 0.444
Cl3 Cl 0.344 0.095 0.228
# Formation energy (no corrections), eV per atom: -0.682
# Total moment, μB/cell: 0.00

# GGA-PBE In3Ag5Cl12, optimized geometry
data_In3Ag5Cl12
_cell_length_a 16.024
_cell_length_b 16.024
_cell_length_c 16.024
_cell_angle_alpha 90.00
_cell_angle_beta 90.00
_cell_angle_gamma 90.00
_space_group_name_H-M_alt 'I a -3 d'
_space_group_IT_number 230
_space_group_name_Hall '-I 4bd 2c 3'
loop_
_atom_site_label
_atom_site_type_symbol
_atom_site_fract_x
_atom_site_fract_y
_atom_site_fract_z
In1 In 0.000 0.250 0.125
Ag1 Ag 0.000 0.000 0.000
Ag2 Ag 0.000 0.250 0.375
Cl1 Cl 0.021 0.072 0.653
# Formation energy (no corrections), eV per atom: -0.564
# Total moment, μB/cell: 0.00

# GGA-PBE InAg4Cl8, optimized geometry
data_InAg4Cl8
_cell_length_a 7.6627
_cell_length_b 7.6627
_cell_length_c 19.2672
_cell_angle_alpha 90.00
_cell_angle_beta 90.00
_cell_angle_gamma 120.00
_space_group_name_H-M_alt 'R -3 m'
_space_group_IT_number 166
_space_group_name_Hall '-R 3 2"'
loop_
_atom_site_label
_atom_site_type_symbol
_atom_site_fract_x
_atom_site_fract_y
_atom_site_fract_z
In1 In 0.0000 0.0000 0.0000
Ag1 Ag 0.0000 0.0000 0.5000
Ag2 Ag 0.0000 0.5000 0.5000
Cl1 Cl 0.0000 0.0000 0.2329
Cl2 Cl 0.0096 0.5048 0.7418
# Formation energy (no corrections), eV per atom: -0.563
# Total moment, μB/cell: 2.67

# GGA-PBE InAgCl4, optimized geometry
data_InAgCl4
_cell_length_a 7.972
_cell_length_b 16.056
_cell_length_c 6.570
_cell_angle_alpha 90.00
_cell_angle_beta 124.63
_cell_angle_gamma 90.00
_space_group_name_H-M_alt 'C 1 2/c 1'
_space_group_IT_number 15
_space_group_name_Hall '-C 2yc'
loop_
_atom_site_label
_atom_site_type_symbol
_atom_site_fract_x
_atom_site_fract_y
_atom_site_fract_z
In1 In 0.000 0.071 0.250
Ag1 Ag 0.000 0.394 0.750
Cl1 Cl 0.223 0.178 0.254
Cl2 Cl 0.226 0.045 0.730
# Excess energy over the best structure of this formula in the dataset, eV per formula unit: 0.07
# Formation energy (no corrections), eV per atom: -0.854
# Total moment, μB/cell: 0.00

# GGA-PBE InAg5Cl8, optimized geometry
data_InAg5Cl8
_cell_length_a 9.826
_cell_length_b 9.826
_cell_length_c 7.848
_cell_angle_alpha 90.00
_cell_angle_beta 90.00
_cell_angle_gamma 90.00
_space_group_name_H-M_alt 'I -4'
_space_group_IT_number 82
_space_group_name_Hall 'I -4'
loop_
_atom_site_label
_atom_site_type_symbol
_atom_site_fract_x
_atom_site_fract_y
_atom_site_fract_z
In1 In 0.000 0.000 0.000
Ag1 Ag 0.000 0.500 0.250
Ag2 Ag 0.197 0.247 0.394
Cl1 Cl 0.040 0.784 0.861
Cl2 Cl 0.079 0.741 0.363
# Formation energy (no corrections), eV per atom: -0.590
# Total moment, μB/cell: 0.00

E across the listed records, respectively: -2.76 -2.75 -2.48 -2.60 -2.71 -2.60 -2.71 -2.72 -2.52 -3.81 -3.49 -2.93 -1.96 -2.92 -2.80 -2.79 -3.02 -2.86 eV/atom.